Material: Sr2TaTi2
Method: DFT, PBE
State: optimized geometry

Output
Excess energy over the best structure of this formula in the dataset in meV per atom: 0
Total magnetic moment in Bohr magnetons per cell: 2.31
Formation energy in eV per formula unit: 4.09

```
data_Sr2TaTi2
_chemical_formula_sum 'Sr4 Ta2 Ti4'
_cell_length_a 6.940
_cell_length_b 6.940
_cell_length_c 5.857
_cell_angle_alpha 90.00
_cell_angle_beta 90.00
_cell_angle_gamma 90.00
_symmetry_space_group_name_H-M 'P 4/m b m'
_symmetry_Int_Tables_number 127
_symmetry_space_group_name_Hall '-P 4 2ab'
loop_
_atom_site_label
_atom_site_type_symbol
_atom_site_fract_x
_atom_site_fract_y
_atom_site_fract_z
Sr1 Sr 0.177 0.323 0.000
Ta1 Ta 0.000 0.000 0.500
Ti1 Ti 0.164 0.664 0.500
```